(1)
# ErAl3Au

An optimized crystal structure of ErAl3Au (PBE, Alexandria).

Values from the calculation:
energy of formation: -45.8 kJ/mol of atoms
magnetic moment: 0.1 μB/cell
energy above the most stable polymorph in this dataset: 0.079 eV/atom
space-group type: Pnma
D(E_F): 1.473 states/eV/f.u.

Structure (extended XYZ):
```
20
Lattice="4.211 0.000 0.000 0.000 8.402 0.000 0.000 0.000 10.977" Properties=species:S:1:pos:R:3 pbc="T T T"
Al 1.053 3.336 7.616
Al 3.158 1.121 8.699
Er 1.053 5.714 5.555
Er 3.158 2.688 5.422
Au 1.053 0.881 7.010
Au 1.053 5.082 9.456
Al 3.158 5.322 7.767
Au 3.158 3.320 1.521
Al 3.158 5.066 3.361
Al 1.053 7.536 8.850
Au 3.158 7.521 3.967
Er 3.158 6.889 0.066
Al 1.053 7.281 2.278
Al 1.053 3.080 3.210
Al 1.053 4.820 1.059
Al 3.158 3.582 9.918
Er 1.053 1.513 10.911
Al 3.158 0.865 2.128
Al 1.053 0.619 4.430
Al 3.158 7.783 6.547
```

(2)
# Er3Al2Au7

An optimized crystal structure of Er3Al2Au7 (PBE, Alexandria).

Values from the calculation:
energy of formation: -59.3 kJ/mol of atoms
magnetic moment: 0.0 μB/cell
space-group type: I4/mmm
D(E_F): 3.214 states/eV/f.u.

Structure (extended XYZ):
```
12
Lattice="-0.315 3.124 -2.796 -4.158 -0.594 -0.195 0.441 7.892 11.928" Properties=species:S:1:pos:R:3 pbc="T T T"
Au 0.000 0.000 0.000
Au -0.444 3.024 0.267
Au -2.366 1.165 1.568
Au -3.588 7.398 8.670
Er -2.864 4.464 2.149
Al -3.560 8.013 6.193
Au -3.239 6.379 4.330
Er -1.168 5.958 6.788
Au -1.667 9.257 7.369
Au -0.793 4.043 4.607
Al -0.472 2.409 2.744
Er -2.236 1.265 -1.495
```

(3)
# ErAl3Au

An optimized crystal structure of ErAl3Au (PBE, Alexandria).

Values from the calculation:
energy of formation: -53.5 kJ/mol of atoms
magnetic moment: 0.0 μB/cell
energy above the most stable polymorph in this dataset: 0.000 eV/atom
space-group type: Cmcm
D(E_F): 1.169 states/eV/f.u.

Structure (extended XYZ):
```
10
Lattice="-2.552 5.236 0.369 0.047 0.473 -6.400 -4.700 -2.463 2.454" Properties=species:S:1:pos:R:3 pbc="T T T"
Au -2.306 0.760 -3.653
Er -3.047 3.554 -2.269
Er -4.158 -0.308 -1.309
Al -5.894 2.158 -2.159
Al -2.395 2.480 -5.607
Al -1.311 1.087 -1.419
Al -4.810 0.766 2.029
Au -4.899 2.486 0.075
Al -6.086 3.383 2.213
Al -1.119 -0.138 -5.791
```

Number 2 is which compound?
Er3Al2Au7

Among the records above, which one has the highest magnetic moment?
number 1

Number 1 is which compound?
ErAl3Au